Record 1
Pm3Pr4DySe8 | PBE-GGA | relaxed

Geometry as POSCAR:
```
Pm3Pr4DySe8
1.0
8.408 0.000 0.000
0.000 8.464 0.035
-4.204 -4.199 5.949
Pr Se Pm Dy
4 8 3 1
Direct
0.000 0.000 0.500 Pr
0.000 0.000 0.000 Pr
0.500 0.000 0.000 Pr
0.500 0.000 0.500 Pr
0.748 0.744 0.496 Se
0.756 0.261 0.004 Se
0.244 0.739 0.487 Se
0.752 0.739 0.996 Se
0.756 0.261 0.513 Se
0.248 0.261 0.004 Se
0.252 0.256 0.504 Se
0.244 0.739 0.996 Se
0.500 0.500 0.000 Pm
0.500 0.500 0.500 Pm
0.000 0.500 0.500 Pm
0.000 0.500 0.000 Dy
```

Calculated values
symmetry = No. 166
energy relative to the elements, uncorrected = -2816 kJ/mol of formula units
total energy = -5.940 eV per atom
crystal system = trigonal


Record 2
PmPrDy2Se6 | PBE-GGA | relaxed

Geometry as POSCAR:
```
PmPrDy2Se6
1.0
-5.917 -3.495 -2.618
-5.166 -2.454 4.623
-6.841 3.712 0.176
Se Pm Dy Pr
6 1 2 1
Direct
0.729 0.123 0.746 Se
0.228 0.895 0.246 Se
0.896 0.630 0.246 Se
0.402 0.729 0.746 Se
0.630 0.228 0.246 Se
0.123 0.403 0.746 Se
0.814 0.814 0.557 Pm
0.014 0.014 0.957 Dy
0.513 0.513 0.461 Dy
0.312 0.312 0.064 Pr
```

Calculated values
symmetry = No. 146
energy relative to the elements, uncorrected = -1782 kJ/mol of formula units
total energy = -5.811 eV per atom
crystal system = trigonal


Record 3
Pm3Pr2DySe6 | PBE-GGA | relaxed

Geometry as POSCAR:
```
Pm3Pr2DySe6
1.0
4.183 0.000 0.000
0.000 8.443 0.325
-2.092 -2.408 8.816
Se Pm Pr Dy
6 3 2 1
Direct
0.338 0.923 0.676 Se
0.336 0.414 0.671 Se
0.998 0.241 0.995 Se
0.664 0.586 0.329 Se
0.002 0.759 0.005 Se
0.662 0.077 0.324 Se
0.500 0.500 0.000 Pm
0.171 0.834 0.341 Pm
0.829 0.166 0.659 Pm
0.168 0.336 0.337 Pr
0.832 0.664 0.663 Pr
0.500 0.000 0.000 Dy
```

Calculated values
symmetry = No. 12
energy relative to the elements, uncorrected = -2109 kJ/mol of formula units
total energy = -5.932 eV per atom
crystal system = monoclinic


Record 4
Pm3PrDy2Se6 | PBE-GGA | relaxed

Geometry as POSCAR:
```
Pm3PrDy2Se6
1.0
7.220 -0.014 -0.001
-3.620 6.247 -0.001
-1.202 -2.081 6.819
Dy Pm Se Pr
2 3 6 1
Direct
0.334 0.666 0.000 Dy
0.666 0.334 0.000 Dy
0.500 0.500 0.500 Pm
0.841 0.159 0.500 Pm
0.159 0.841 0.500 Pm
0.264 0.264 0.760 Se
0.736 0.736 0.240 Se
0.427 0.082 0.246 Se
0.918 0.573 0.754 Se
0.082 0.427 0.246 Se
0.573 0.918 0.754 Se
0.000 0.000 0.000 Pr
```

Calculated values
symmetry = No. 12
energy relative to the elements, uncorrected = -2095 kJ/mol of formula units
total energy = -5.905 eV per atom
crystal system = monoclinic


Record 5
Pm2Pr3DySe6 | PBE-GGA | relaxed

Geometry as POSCAR:
```
Pm2Pr3DySe6
1.0
-6.770 0.672 2.595
4.715 -4.541 3.188
2.790 6.402 2.228
Se Pm Pr Dy
6 2 3 1
Direct
0.595 0.920 0.761 Se
0.755 0.755 0.243 Se
0.245 0.245 0.757 Se
0.405 0.080 0.239 Se
0.920 0.595 0.761 Se
0.080 0.405 0.239 Se
0.667 0.333 0.000 Pm
0.333 0.667 0.000 Pm
0.171 0.829 0.500 Pr
0.829 0.171 0.500 Pr
0.500 0.500 0.500 Pr
0.000 0.000 0.000 Dy
```

Calculated values
symmetry = No. 12
energy relative to the elements, uncorrected = -2118 kJ/mol of formula units
total energy = -5.941 eV per atom
crystal system = monoclinic


Record 6
Pm4PrDySe8 | PBE-GGA | relaxed

Geometry as POSCAR:
```
Pm4PrDySe8
1.0
8.621 0.000 0.000
4.310 7.466 0.000
4.310 2.489 7.060
Se Pm Pr Dy
8 4 1 1
Direct
0.755 0.755 0.262 Se
0.248 0.248 0.741 Se
0.758 0.758 0.725 Se
0.227 0.755 0.262 Se
0.755 0.227 0.262 Se
0.245 0.245 0.265 Se
0.762 0.248 0.741 Se
0.248 0.762 0.741 Se
0.001 0.497 0.501 Pm
0.497 0.001 0.501 Pm
0.625 0.625 0.124 Pm
0.001 0.001 0.501 Pm
0.001 0.001 0.996 Pr
0.375 0.375 0.876 Dy
```

Calculated values
symmetry = No. 160
energy relative to the elements, uncorrected = -2335 kJ/mol of formula units
total energy = -5.747 eV per atom
crystal system = trigonal